Record 1
## UCoNi2 (PBE)

Data for a relaxed structure of UCoNi2.

Cell lengths 4.066, 4.066, 4.808 Å; angles 64.99, 64.99, 60.00 degrees
Atoms (fractional coordinates):
Ni (0.708, 0.708, 0.875)
U (0.500, 0.500, 0.500)
Ni (0.292, 0.292, 0.125)
Co (0.000, 0.000, 0.000)

Summary:
Its density of states at the Fermi level is 5.85 states/eV/cell. The energy relative to the elements is 0.001 eV per atom. For the total magnetization, the calculation gives 0.65 μB per cell.


Record 2
## Hf6Bi3Te (PBE)

Data for a relaxed structure of Hf6Bi3Te.

Cell lengths 7.548, 8.633, 8.633 Å; angles 110.65, 90.00, 90.00 degrees
Atoms (fractional coordinates):
Bi (0.027, 0.107, 0.294)
Hf (0.732, 0.952, 0.048)
Bi (0.027, 0.706, 0.893)
Hf (0.603, 0.252, 0.748)
Hf (0.735, 0.585, 0.067)
Bi (0.527, 0.893, 0.706)
Bi (0.834, 0.589, 0.411)
Bi (0.527, 0.294, 0.107)
Hf (0.103, 0.748, 0.252)
Hf (0.676, 0.269, 0.410)
Hf (0.735, 0.933, 0.415)
Hf (0.232, 0.048, 0.952)
Te (0.943, 0.169, 0.831)
Hf (0.676, 0.590, 0.731)
Hf (0.235, 0.415, 0.933)
Hf (0.176, 0.410, 0.269)
Te (0.443, 0.831, 0.169)
Hf (0.235, 0.067, 0.585)
Hf (0.176, 0.731, 0.590)
Bi (0.334, 0.411, 0.589)

Summary:
The raw formation energy is -0.02 eV/atom. Its density of states at the Fermi level is 9.00 states/eV/cell. For the total magnetization, the calculation gives 0.00 μB per cell.


Record 3
## Sr3RhO6 (PBE)

Data for a relaxed structure of Sr3RhO6.

Cell lengths 6.895, 6.895, 6.895 Å; angles 92.14, 92.14, 92.14 degrees
Atoms (fractional coordinates):
Rh (0.500, 0.500, 0.500)
O (0.774, 0.452, 0.572)
O (0.942, 0.068, 0.274)
O (0.274, 0.942, 0.068)
O (0.452, 0.572, 0.774)
Sr (0.744, 0.433, 0.929)
O (0.548, 0.428, 0.226)
O (0.068, 0.274, 0.942)
O (0.726, 0.058, 0.932)
Sr (0.071, 0.256, 0.567)
Sr (0.433, 0.929, 0.744)
Sr (0.929, 0.744, 0.433)
O (0.572, 0.774, 0.452)
O (0.932, 0.726, 0.058)
O (0.428, 0.226, 0.548)
O (0.226, 0.548, 0.428)
Rh (0.000, 0.000, 0.000)
O (0.058, 0.932, 0.726)
Sr (0.256, 0.567, 0.071)
Sr (0.567, 0.071, 0.256)

Summary:
The raw formation energy is -1.93 eV/atom. Its density of states at the Fermi level is 4.80 states/eV/cell. For the total magnetization, the calculation gives 6.01 μB per cell.


Record 4
## SiMoP4 (PBE)

Data for a relaxed structure of SiMoP4.

Cell lengths 4.977, 4.977, 4.977 Å; angles 60.00, 60.00, 60.00 degrees
Atoms (fractional coordinates):
P (0.624, 0.624, 0.624)
P (0.624, 0.128, 0.624)
P (0.128, 0.624, 0.624)
P (0.624, 0.624, 0.128)
Mo (0.000, 0.000, 0.000)
Si (0.250, 0.250, 0.250)

Summary:
The raw formation energy is 0.79 eV/atom. Its density of states at the Fermi level is 4.79 states/eV/cell. For the total magnetization, the calculation gives 0.55 μB per cell.


Record 5
## Si2AgW (PBE)

Data for a relaxed structure of Si2AgW.

Cell lengths 2.746, 2.746, 8.434 Å; angles 90.00, 90.00, 102.08 degrees
Atoms (fractional coordinates):
Si (0.000, 0.000, 0.015)
Ag (0.500, 0.500, 0.757)
W (0.000, 0.000, 0.479)
Si (0.500, 0.500, 0.249)

Summary:
The raw formation energy is 0.44 eV/atom. Its density of states at the Fermi level is 1.92 states/eV/cell. For the total magnetization, the calculation gives 0.00 μB per cell.


Record 6
## SrAgSb2 (PBE)

Data for a relaxed structure of SrAgSb2.

Cell lengths 5.494, 5.494, 5.841 Å; angles 71.01, 71.01, 44.60 degrees
Atoms (fractional coordinates):
Sr (0.750, 0.750, 0.750)
Ag (0.250, 0.250, 0.250)
Sb (0.976, 0.976, 0.078)
Sb (0.524, 0.524, 0.422)

Summary:
The raw formation energy is -0.34 eV/atom. Its density of states at the Fermi level is 1.14 states/eV/cell. For the total magnetization, the calculation gives 0.00 μB per cell.


Record 7
## MnHgPd3 (PBE)

Data for a relaxed structure of MnHgPd3.

Cell lengths 4.590, 4.590, 4.590 Å; angles 90.00, 90.00, 90.00 degrees
Atoms (fractional coordinates):
Pd (0.000, 0.000, 0.500)
Pd (0.000, 0.500, 0.000)
Hg (0.500, 0.500, 0.500)
Mn (0.000, 0.000, 0.000)
Pd (0.500, 0.000, 0.000)

Summary:
Its density of states at the Fermi level is 6.84 states/eV/cell. The energy relative to the elements is 0.799 eV per atom. For the total magnetization, the calculation gives 0.00 μB per cell.


Record 8
## UNi2P (PBE)

Data for a relaxed structure of UNi2P.

Cell lengths 3.865, 3.865, 5.082 Å; angles 67.65, 67.65, 60.00 degrees
Atoms (fractional coordinates):
P (0.500, 0.500, 0.500)
Ni (0.784, 0.784, 0.648)
Ni (0.216, 0.216, 0.352)
U (0.000, 0.000, 0.000)

Summary:
Its density of states at the Fermi level is 4.57 states/eV/cell. The energy relative to the elements is -0.466 eV per atom. For the total magnetization, the calculation gives 1.46 μB per cell.


Record 9
## TaAgRu2 (PBE)

Data for a relaxed structure of TaAgRu2.

Cell lengths 4.949, 4.949, 4.949 Å; angles 133.73, 133.63, 67.59 degrees
Atoms (fractional coordinates):
Ru (0.000, 0.000, 0.000)
Ru (0.251, 0.751, 0.500)
Ta (0.500, 0.500, 0.000)
Ag (0.750, 0.250, 0.500)

Summary:
Its density of states at the Fermi level is 4.83 states/eV/cell. The energy relative to the elements is 0.170 eV per atom. For the total magnetization, the calculation gives 0.00 μB per cell.


Record 10
## LiNpRh3 (PBE)

Data for a relaxed structure of LiNpRh3.

Cell lengths 5.656, 6.657, 8.983 Å; angles 109.86, 90.00, 90.00 degrees
Atoms (fractional coordinates):
Rh (0.622, 0.441, 0.844)
Np (0.132, 0.451, 0.828)
Rh (0.122, 0.059, 0.656)
Np (0.868, 0.549, 0.172)
Rh (0.605, 0.670, 0.465)
Li (0.372, 0.148, 0.986)
Li (0.872, 0.352, 0.514)
Rh (0.378, 0.559, 0.156)
Np (0.368, 0.951, 0.328)
Rh (0.634, 0.245, 0.247)
Rh (0.395, 0.330, 0.535)
Li (0.128, 0.648, 0.486)
Np (0.632, 0.049, 0.672)
Rh (0.134, 0.255, 0.253)
Rh (0.878, 0.941, 0.344)
Rh (0.895, 0.170, 0.965)
Rh (0.105, 0.830, 0.035)
Li (0.628, 0.852, 0.014)
Rh (0.866, 0.745, 0.747)
Rh (0.366, 0.755, 0.753)

Summary:
Its density of states at the Fermi level is 25.81 states/eV/cell. The energy relative to the elements is -0.278 eV per atom. For the total magnetization, the calculation gives 7.85 μB per cell.


Record 11
## TaCd2Te (PBE)

Data for a relaxed structure of TaCd2Te.

Cell lengths 3.344, 3.344, 8.423 Å; angles 90.00, 90.00, 90.01 degrees
Atoms (fractional coordinates):
Te (0.500, 0.500, 0.690)
Cd (0.500, 0.500, 0.272)
Ta (0.000, 0.000, 0.505)
Cd (0.000, 0.000, 0.032)

Summary:
The raw formation energy is 0.15 eV/atom. Its density of states at the Fermi level is 1.66 states/eV/cell. For the total magnetization, the calculation gives 0.00 μB per cell.


Record 12
## Pm2TcBi (PBE)

Data for a relaxed structure of Pm2TcBi.

Cell lengths 5.281, 5.281, 5.281 Å; angles 60.00, 60.00, 60.00 degrees
Atoms (fractional coordinates):
Bi (0.000, 0.000, 0.000)
Tc (0.500, 0.500, 0.500)
Pm (0.750, 0.750, 0.750)
Pm (0.250, 0.250, 0.250)

Summary:
Its density of states at the Fermi level is 2.31 states/eV/cell. The energy relative to the elements is -0.064 eV per atom. For the total magnetization, the calculation gives 0.00 μB per cell.


Record 13
## MnTe6Rh2 (PBE)

Data for a relaxed structure of MnTe6Rh2.

Cell lengths 5.466, 11.879, 11.879 Å; angles 120.00, 90.00, 90.00 degrees
Atoms (fractional coordinates):
Te (0.251, 0.224, 0.112)
Mn (0.000, 0.000, 0.000)
Te (0.251, 0.888, 0.776)
Te (0.275, 0.549, 0.099)
Te (0.749, 0.112, 0.888)
Te (0.256, 0.562, 0.781)
Te (0.256, 0.219, 0.438)
Te (0.749, 0.112, 0.224)
Rh (0.000, 0.000, 0.337)
Mn (0.489, 0.333, 0.667)
Te (0.744, 0.438, 0.219)
Te (0.275, 0.901, 0.451)
Rh (0.000, 0.337, 0.337)
Rh (0.000, 0.000, 0.663)
Te (0.725, 0.099, 0.549)
Te (0.251, 0.888, 0.112)
Rh (0.000, 0.337, 0.000)
Te (0.256, 0.219, 0.781)
Te (0.275, 0.549, 0.451)
Rh (0.000, 0.663, 0.000)
Rh (0.000, 0.663, 0.663)
Te (0.725, 0.451, 0.901)
Mn (0.511, 0.667, 0.333)
Te (0.749, 0.776, 0.888)
Te (0.744, 0.781, 0.219)
Te (0.725, 0.451, 0.549)
Te (0.744, 0.781, 0.562)

Summary:
The raw formation energy is -0.30 eV/atom. Its density of states at the Fermi level is 10.39 states/eV/cell. For the total magnetization, the calculation gives 8.38 μB per cell.


Record 14
## TbPuO2 (PBE)

Data for a relaxed structure of TbPuO2.

Cell lengths 3.432, 3.432, 6.158 Å; angles 73.82, 73.82, 60.00 degrees
Atoms (fractional coordinates):
Tb (0.000, 0.000, 0.000)
Pu (0.500, 0.500, 0.500)
O (0.259, 0.259, 0.224)
O (0.741, 0.741, 0.776)

Summary:
The raw formation energy is -2.67 eV/atom. Its density of states at the Fermi level is 3.96 states/eV/cell. For the total magnetization, the calculation gives 5.77 μB per cell.


Record 15
## Pr5Ru2 (PBE)

Data for a relaxed structure of Pr5Ru2.

Cell lengths 8.980, 8.980, 7.426 Å; angles 83.87, 83.87, 43.58 degrees
Atoms (fractional coordinates):
Pr (0.640, 0.792, 0.187)
Pr (0.016, 0.799, 0.912)
Pr (0.208, 0.360, 0.313)
Pr (0.984, 0.201, 0.088)
Pr (0.201, 0.984, 0.588)
Ru (0.176, 0.600, 0.575)
Pr (0.792, 0.640, 0.687)
Pr (0.360, 0.208, 0.813)
Ru (0.600, 0.176, 0.075)
Pr (0.424, 0.576, 0.250)
Pr (0.799, 0.016, 0.412)
Pr (0.576, 0.424, 0.750)
Ru (0.400, 0.824, 0.925)
Ru (0.824, 0.400, 0.425)

Summary:
Its density of states at the Fermi level is 12.56 states/eV/cell. The energy relative to the elements is -0.190 eV per atom. For the total magnetization, the calculation gives 0.00 μB per cell.


Record 16
## ZrSO2F (PBE)

Data for a relaxed structure of ZrSO2F.

Cell lengths 4.195, 4.195, 4.266 Å; angles 90.00, 90.00, 90.00 degrees
Atoms (fractional coordinates):
Zr (0.000, 0.000, 0.000)
F (0.000, 0.000, 0.500)
O (0.000, 0.500, 0.000)
O (0.500, 0.000, 0.000)
S (0.500, 0.500, 0.500)

Summary:
The raw formation energy is -1.68 eV/atom. Its density of states at the Fermi level is 1.06 states/eV/cell. For the total magnetization, the calculation gives 3.02 μB per cell.


Record 17
## SrBe2CdH8 (PBE)

Data for a relaxed structure of SrBe2CdH8.

Cell lengths 4.543, 4.543, 7.316 Å; angles 85.06, 85.06, 65.23 degrees
Atoms (fractional coordinates):
H (0.243, 0.243, 0.922)
Cd (0.000, 0.000, 0.000)
H (0.687, 0.687, 0.416)
H (0.757, 0.757, 0.078)
Sr (0.000, 0.000, 0.500)
H (0.241, 0.716, 0.782)
Be (0.371, 0.371, 0.767)
H (0.313, 0.313, 0.584)
H (0.284, 0.759, 0.218)
Be (0.629, 0.629, 0.233)
H (0.716, 0.241, 0.782)
H (0.759, 0.284, 0.218)

Summary:
As for the calculated total energy: -0.23523 Ry/atom. Its density of states at the Fermi level is 0.00 states/eV/cell. For the total magnetization, the calculation gives 0.00 μB per cell.


Record 18
## Tm6AgOs2 (PBE)

Data for a relaxed structure of Tm6AgOs2.

Cell lengths 8.350, 8.350, 8.350 Å; angles 103.34, 112.45, 112.79 degrees
Atoms (fractional coordinates):
Tm (0.798, 0.755, 0.553)
Tm (0.539, 0.721, 0.818)
Tm (0.202, 0.755, 0.957)
Tm (0.461, 0.279, 0.182)
Tm (0.097, 0.279, 0.818)
Tm (0.684, 0.351, 0.667)
Tm (0.316, 0.649, 0.333)
Os (0.500, 0.624, 0.124)
Tm (0.798, 0.245, 0.043)
Tm (0.684, 0.017, 0.333)
Ag (0.000, 0.000, 0.000)
Os (0.678, 0.000, 0.678)
Tm (0.903, 0.721, 0.182)
Os (0.322, 0.000, 0.322)
Os (0.500, 0.376, 0.876)
Tm (0.316, 0.983, 0.667)
Ag (0.000, 0.500, 0.500)
Tm (0.202, 0.245, 0.447)

Summary:
Its density of states at the Fermi level is 16.80 states/eV/cell. The energy relative to the elements is -0.287 eV per atom. For the total magnetization, the calculation gives 0.00 μB per cell.


Record 19
## KNaAuSe2 (PBE)

Data for a relaxed structure of KNaAuSe2.

Cell lengths 5.859, 7.083, 7.946 Å; angles 116.47, 90.00, 90.00 degrees
Atoms (fractional coordinates):
Se (0.737, 0.632, 0.263)
Se (0.737, 0.868, 0.737)
Se (0.263, 0.368, 0.737)
Na (0.500, 0.250, 0.000)
K (0.238, 0.750, 0.500)
Se (0.263, 0.132, 0.263)
Na (0.500, 0.750, 0.000)
Au (0.000, 0.500, 0.000)
Au (0.000, 0.000, 0.000)
K (0.762, 0.250, 0.500)

Summary:
The raw formation energy is -0.65 eV/atom. Its density of states at the Fermi level is 9.60 states/eV/cell. For the total magnetization, the calculation gives 0.00 μB per cell.


Record 20
## HfTaO2 (PBE)

Data for a relaxed structure of HfTaO2.

Cell lengths 5.988, 5.988, 5.988 Å; angles 32.94, 32.94, 32.94 degrees
Atoms (fractional coordinates):
O (0.879, 0.879, 0.879)
Hf (0.500, 0.500, 0.500)
O (0.121, 0.121, 0.121)
Ta (0.000, 0.000, 0.000)

Summary:
The raw formation energy is -2.05 eV/atom. Its density of states at the Fermi level is 3.56 states/eV/cell. For the total magnetization, the calculation gives 0.00 μB per cell.


Record 21
## Ag2PdCl8 (PBE)

Data for a relaxed structure of Ag2PdCl8.

Cell lengths 7.015, 7.073, 7.700 Å; angles 95.51, 90.00, 119.73 degrees
Atoms (fractional coordinates):
Pd (0.000, 0.000, 0.000)
Ag (0.131, 0.262, 0.394)
Cl (0.932, 0.864, 0.301)
Cl (0.356, 0.248, 0.115)
Cl (0.892, 0.248, 0.115)
Cl (0.108, 0.752, 0.885)
Cl (0.315, 0.630, 0.499)
Cl (0.685, 0.370, 0.501)
Cl (0.644, 0.752, 0.885)
Cl (0.068, 0.136, 0.699)
Ag (0.869, 0.738, 0.606)

Summary:
The raw formation energy is -0.22 eV/atom. Its density of states at the Fermi level is 12.29 states/eV/cell. For the total magnetization, the calculation gives 0.00 μB per cell.


Record 22
## CePu2Tl (PBE)

Data for a relaxed structure of CePu2Tl.

Cell lengths 5.342, 5.342, 5.342 Å; angles 60.00, 60.00, 60.00 degrees
Atoms (fractional coordinates):
Ce (0.000, 0.000, 0.000)
Pu (0.750, 0.750, 0.750)
Tl (0.500, 0.500, 0.500)
Pu (0.250, 0.250, 0.250)

Summary:
Its density of states at the Fermi level is 12.09 states/eV/cell. The energy relative to the elements is 0.051 eV per atom. For the total magnetization, the calculation gives 14.52 μB per cell.


Record 23
## SnTeRuPb2 (PBE)

Data for a relaxed structure of SnTeRuPb2.

Cell lengths 5.935, 5.561, 5.935 Å; angles 90.00, 90.00, 90.00 degrees
Atoms (fractional coordinates):
Sn (0.000, 0.500, 0.000)
Pb (0.500, 0.000, 0.000)
Ru (0.500, 0.500, 0.500)
Te (0.000, 0.000, 0.000)
Pb (0.000, 0.000, 0.500)

Summary:
The raw formation energy is 1.40 eV/atom. Its density of states at the Fermi level is 5.64 states/eV/cell. For the total magnetization, the calculation gives 2.41 μB per cell.